Entry 1:
Below is a relaxed structure of LaPaCo2O6, with properties calculated at the PBE with a Hubbard U level.

Structure (CIF):
```
data_LaPaCo2O6
_chemical_formula_sum 'La1 Pa1 Co2 O6'
_cell_length_a 5.5114
_cell_length_b 5.5114
_cell_length_c 6.5478
_cell_angle_alpha 65.11
_cell_angle_beta 65.11
_cell_angle_gamma 60.00
_symmetry_space_group_name_H-M 'P 1'
_symmetry_Int_Tables_number 1
loop_
_symmetry_equiv_pos_as_xyz
'x,y,z'
loop_
_atom_site_label
_atom_site_type_symbol
_atom_site_fract_x
_atom_site_fract_y
_atom_site_fract_z
O1 O 0.7837 0.1024 0.6996
O2 O 0.5857 0.2163 0.3004
O3 O 0.8976 0.5857 0.3004
O4 O 0.2163 0.8976 0.3004
O5 O 0.1024 0.4143 0.6996
O6 O 0.4143 0.7837 0.6996
La1 La 0.0000 0.0000 0.0000
Pa1 Pa 0.5000 0.5000 0.5000
Co1 Co 0.1857 0.1857 0.4430
Co2 Co 0.8143 0.8143 0.5570
```

=====

Entry 2:
Below is a relaxed structure of RbPuMnO4, with properties calculated at the PBE with a Hubbard U level.

Structure (CIF):
```
data_RbPuMnO4
_chemical_formula_sum 'Rb2 Pu2 Mn2 O8'
_cell_length_a 7.0475
_cell_length_b 6.9508
_cell_length_c 7.0478
_cell_angle_alpha 120.46
_cell_angle_beta 90.00
_cell_angle_gamma 120.46
_symmetry_space_group_name_H-M 'P 1'
_symmetry_Int_Tables_number 1
loop_
_symmetry_equiv_pos_as_xyz
'x,y,z'
loop_
_atom_site_label
_atom_site_type_symbol
_atom_site_fract_x
_atom_site_fract_y
_atom_site_fract_z
O1 O 0.3165 0.0108 0.2554
O2 O 0.3058 0.9892 0.7446
O3 O 0.6942 0.0108 0.2554
O4 O 0.7124 0.4247 0.2672
O5 O 0.2876 0.5753 0.3425
O6 O 0.7124 0.4247 0.6575
O7 O 0.2876 0.5753 0.7328
O8 O 0.6835 0.9892 0.7446
Rb1 Rb 0.8653 0.7305 0.1153
Rb2 Rb 0.1347 0.2695 0.8847
Mn1 Mn 0.0000 0.5000 0.5000
Mn2 Mn 0.5000 0.5000 0.5000
Pu1 Pu 0.5000 0.0000 0.0000
Pu2 Pu 0.5000 0.0000 0.5000
```

=====

| no. | total energy (eV/atom) |
| --- | --- |
| 1 | -7.9598 |
| 2 | -8.2301 |